Entry 1:
A relaxed structure of PmTm6Sc4, computed with GGA-PBE.

Cell and atoms, written as POSCAR:
```
PmTm6Sc4
1.0
-3.1522 3.1522 8.2598
3.1522 -3.1522 8.2598
3.1522 3.1522 -8.2598
Pm Tm Sc
1 6 4
Direct
0.0000 0.0000 0.0000 Pm
0.0000 0.5000 0.5000 Tm
0.0111 0.6348 0.0000 Tm
0.3652 0.3652 0.3763 Tm
0.5000 0.0000 0.5000 Tm
0.6348 0.0111 0.0000 Tm
0.9889 0.9889 0.6237 Tm
0.1954 0.1954 0.6485 Sc
0.4531 0.8046 0.0000 Sc
0.5469 0.5469 0.3515 Sc
0.8046 0.4531 0.0000 Sc
```

Summary:
energy relative to the lowest polymorph listed for this composition: 0.0000 eV per atom
space group: I-42m (121)
DFT total energy: -4.8387 eV/atom
theoretical density: 6.8 g/cm3


Entry 2:
A relaxed structure of Pm3TmSc6, computed with GGA-PBE.

Cell and atoms, written as POSCAR:
```
Pm3TmSc6
1.0
5.1803 -9.0007 0.0000
5.1803 9.0007 0.0000
0.0000 0.0000 6.0349
Pm Tm Sc
6 2 12
Direct
0.0441 0.9559 0.5000 Pm
0.2861 0.3829 0.1626 Pm
0.3829 0.2861 0.6626 Pm
0.6171 0.7139 0.1626 Pm
0.7139 0.6171 0.6626 Pm
0.9559 0.0441 0.0000 Pm
0.2057 0.7943 0.7880 Tm
0.7943 0.2057 0.2880 Tm
0.0393 0.4672 0.9863 Sc
0.0671 0.3011 0.5875 Sc
0.2756 0.7244 0.2809 Sc
0.3011 0.0671 0.0875 Sc
0.3816 0.6184 0.6988 Sc
0.4672 0.0393 0.4863 Sc
0.5328 0.9607 0.9863 Sc
0.6184 0.3816 0.1988 Sc
0.6989 0.9329 0.5875 Sc
0.7244 0.2756 0.7809 Sc
0.9329 0.6989 0.0875 Sc
0.9607 0.5328 0.4863 Sc
```

Summary:
energy relative to the lowest polymorph listed for this composition: 0.0000 eV per atom
space group: Cmc2_1 (36)
DFT total energy: -5.5375 eV/atom
theoretical density: 5.2 g/cm3


Entry 3:
A relaxed structure of Pm6Tm3Sc2, computed with GGA-PBE.

Cell and atoms, written as POSCAR:
```
Pm6Tm3Sc2
1.0
-2.3657 2.3657 16.1630
2.3657 -2.3657 16.1630
2.3657 2.3657 -16.1630
Pm Tm Sc
6 3 2
Direct
0.1153 0.6153 0.5000 Pm
0.1999 0.1999 0.0000 Pm
0.3847 0.8847 0.5000 Pm
0.6153 0.1153 0.5000 Pm
0.8001 0.8001 0.0000 Pm
0.8847 0.3847 0.5000 Pm
0.3056 0.3056 0.0000 Tm
0.5000 0.5000 0.0000 Tm
0.6944 0.6944 0.0000 Tm
0.0429 0.0429 0.0000 Sc
0.9571 0.9571 0.0000 Sc
```

Summary:
energy relative to the lowest polymorph listed for this composition: 0.2270 eV per atom
space group: I4/mmm (139)
DFT total energy: -4.6413 eV/atom
theoretical density: 6.7 g/cm3


Entry 4:
A relaxed structure of PmTm12Sc2, computed with GGA-PBE.

Cell and atoms, written as POSCAR:
```
PmTm12Sc2
1.0
3.5198 0.0000 0.0000
0.0000 4.7597 0.0000
-1.7575 0.0000 27.2278
Pm Tm Sc
1 12 2
Direct
0.0000 0.0000 0.0000 Pm
0.0672 0.0000 0.1321 Tm
0.1925 0.0000 0.3831 Tm
0.2759 0.5000 0.5527 Tm
0.3376 0.5000 0.6785 Tm
0.3996 0.5000 0.8027 Tm
0.4659 0.5000 0.9325 Tm
0.5341 0.5000 0.0675 Tm
0.6004 0.5000 0.1973 Tm
0.6624 0.5000 0.3215 Tm
0.7241 0.5000 0.4473 Tm
0.8075 0.0000 0.6169 Tm
0.9328 0.0000 0.8679 Tm
0.1314 0.0000 0.2589 Sc
0.8686 0.0000 0.7411 Sc
```

Summary:
space group: P2/m (10)
DFT total energy: -4.6143 eV/atom
theoretical density: 8.2 g/cm3


Entry 5:
A relaxed structure of Pm2TmSc8, computed with GGA-PBE.

Cell and atoms, written as POSCAR:
```
Pm2TmSc8
1.0
4.3162 -7.6414 0.0000
4.3162 7.6414 0.0000
-3.1729 0.0000 4.5225
Pm Tm Sc
2 1 8
Direct
0.1939 0.8061 0.0000 Pm
0.8061 0.1939 0.0000 Pm
0.5000 0.5000 0.5000 Tm
0.0562 0.0562 0.2904 Sc
0.1693 0.4031 0.8162 Sc
0.2942 0.7058 0.5000 Sc
0.4031 0.1693 0.8162 Sc
0.5969 0.8307 0.1838 Sc
0.7058 0.2942 0.5000 Sc
0.8307 0.5969 0.1838 Sc
0.9438 0.9438 0.7096 Sc
```

Summary:
space group: C2/m (12)
DFT total energy: -5.7217 eV/atom
theoretical density: 4.6 g/cm3


Entry 6:
A relaxed structure of PmTm9Sc2, computed with GGA-PBE.

Cell and atoms, written as POSCAR:
```
PmTm9Sc2
1.0
4.9018 0.0000 0.0000
0.0000 4.9018 0.0000
0.0000 0.0000 14.6951
Pm Tm Sc
1 9 2
Direct
0.0000 0.0000 0.0000 Pm
0.0000 0.5000 0.1725 Tm
0.0000 0.5000 0.5000 Tm
0.0000 0.5000 0.8275 Tm
0.5000 0.0000 0.1725 Tm
0.5000 0.0000 0.5000 Tm
0.5000 0.0000 0.8275 Tm
0.5000 0.5000 0.0000 Tm
0.5000 0.5000 0.3372 Tm
0.5000 0.5000 0.6628 Tm
0.0000 0.0000 0.3357 Sc
0.0000 0.0000 0.6643 Sc
```

Summary:
energy relative to the lowest polymorph listed for this composition: 0.0052 eV per atom
space group: P4/mmm (123)
DFT total energy: -4.7637 eV/atom
theoretical density: 8.3 g/cm3


Entry 7:
A relaxed structure of Pm2Tm3Sc2, computed with GGA-PBE.

Cell and atoms, written as POSCAR:
```
Pm2Tm3Sc2
1.0
2.5839 -11.6318 0.0000
2.5839 11.6318 0.0000
0.0000 0.0000 3.4584
Pm Tm Sc
2 3 2
Direct
0.0762 0.9238 0.0000 Pm
0.9238 0.0762 0.0000 Pm
0.3426 0.6574 0.5000 Tm
0.5000 0.5000 0.5000 Tm
0.6574 0.3426 0.5000 Tm
0.2168 0.7832 0.0000 Sc
0.7832 0.2168 0.0000 Sc
```

Summary:
energy relative to the lowest polymorph listed for this composition: 0.0000 eV per atom
space group: Cmmm (65)
DFT total energy: -5.0501 eV/atom
theoretical density: 7.1 g/cm3


Entry 8:
A relaxed structure of Pm2TmSc5, computed with GGA-PBE.

Cell and atoms, written as POSCAR:
```
Pm2TmSc5
1.0
6.7367 0.0000 0.0000
0.0000 13.4742 0.0000
0.0000 0.0000 4.8339
Pm Tm Sc
4 2 10
Direct
0.2418 0.1270 0.0000 Pm
0.2582 0.6270 0.0000 Pm
0.7418 0.3730 0.0000 Pm
0.7582 0.8730 0.0000 Pm
0.0000 0.5000 0.5000 Tm
0.5000 0.0000 0.5000 Tm
0.0000 0.0000 0.5000 Sc
0.0090 0.7523 0.5000 Sc
0.2450 0.3741 0.0000 Sc
0.2550 0.8741 0.0000 Sc
0.4910 0.2523 0.5000 Sc
0.5000 0.5000 0.5000 Sc
0.5090 0.7477 0.5000 Sc
0.7450 0.1259 0.0000 Sc
0.7550 0.6259 0.0000 Sc
0.9910 0.2477 0.5000 Sc
```

Summary:
space group: Pbam (55)
DFT total energy: -5.6417 eV/atom
theoretical density: 5.2 g/cm3


Entry 9:
A relaxed structure of Pm4Tm4Sc, computed with GGA-PBE.

Cell and atoms, written as POSCAR:
```
Pm4Tm4Sc
1.0
-2.6362 2.6362 11.6372
2.6362 -2.6362 11.6372
2.6362 2.6362 -11.6372
Pm Tm Sc
4 4 1
Direct
0.1210 0.6270 0.0000 Pm
0.3730 0.3730 0.4940 Pm
0.6270 0.1210 0.0000 Pm
0.8790 0.8790 0.5060 Pm
0.0000 0.5000 0.5000 Tm
0.2519 0.2519 0.0000 Tm
0.5000 0.0000 0.5000 Tm
0.7481 0.7481 0.0000 Tm
0.0000 0.0000 0.0000 Sc
```

Summary:
energy relative to the lowest polymorph listed for this composition: 0.6321 eV per atom
space group: I-42m (121)
DFT total energy: -4.1338 eV/atom
theoretical density: 6.7 g/cm3


Entry 10:
A relaxed structure of PmTm6Sc2, computed with GGA-PBE.

Cell and atoms, written as POSCAR:
```
PmTm6Sc2
1.0
3.4978 0.0000 0.0000
-1.7489 3.0292 0.0000
0.0000 0.0000 25.2750
Pm Tm Sc
1 6 2
Direct
0.0000 0.0000 0.0000 Pm
0.0000 0.0000 0.2265 Tm
0.0000 0.0000 0.4335 Tm
0.0000 0.0000 0.5665 Tm
0.0000 0.0000 0.7735 Tm
0.3333 0.6667 0.1156 Tm
0.3333 0.6667 0.8844 Tm
0.3333 0.6667 0.3306 Sc
0.3333 0.6667 0.6694 Sc
```

Summary:
energy relative to the lowest polymorph listed for this composition: 0.0000 eV per atom
space group: P-6m2 (187)
DFT total energy: -4.8553 eV/atom
theoretical density: 7.7 g/cm3


Entry 11:
A relaxed structure of PmTmSc2, computed with GGA-PBE.

Cell and atoms, written as POSCAR:
```
PmTmSc2
1.0
1.7235 0.9951 10.9719
-1.7235 0.9951 10.9719
0.0000 -1.9902 10.9719
Pm Tm Sc
1 1 2
Direct
0.0000 0.0000 0.0000 Pm
0.8344 0.8344 0.8344 Tm
0.2490 0.2490 0.2490 Sc
0.4192 0.4192 0.4192 Sc
```

Summary:
energy relative to the lowest polymorph listed for this composition: 0.0195 eV per atom
space group: R3m (160)
DFT total energy: -5.4022 eV/atom
theoretical density: 5.9 g/cm3


Entry 12:
A relaxed structure of Pm7Tm2Sc2, computed with GGA-PBE.

Cell and atoms, written as POSCAR:
```
Pm7Tm2Sc2
1.0
3.2771 -5.8561 0.0000
3.2771 5.8561 0.0000
0.0000 0.0000 9.6195
Pm Tm Sc
7 2 2
Direct
0.0000 0.0000 0.0000 Pm
0.0000 0.5000 0.3075 Pm
0.0000 0.5000 0.6925 Pm
0.5000 0.0000 0.3075 Pm
0.5000 0.0000 0.6925 Pm
0.5000 0.5000 0.1830 Pm
0.5000 0.5000 0.8170 Pm
0.2510 0.2510 0.5000 Tm
0.7490 0.7490 0.5000 Tm
0.2693 0.7307 0.0000 Sc
0.7307 0.2693 0.0000 Sc
```

Summary:
energy relative to the lowest polymorph listed for this composition: 0.1819 eV per atom
space group: Cmmm (65)
DFT total energy: -4.6559 eV/atom
theoretical density: 6.5 g/cm3


Entry 13:
A relaxed structure of Pm2Tm4Sc5, computed with GGA-PBE.

Cell and atoms, written as POSCAR:
```
Pm2Tm4Sc5
1.0
8.4338 0.0000 0.0000
0.0000 3.4253 0.0000
-4.0592 0.0000 11.0017
Pm Tm Sc
2 4 5
Direct
0.1253 0.0000 0.4017 Pm
0.8747 0.0000 0.5983 Pm
0.2611 0.5000 0.7361 Tm
0.2690 0.5000 0.1497 Tm
0.7310 0.5000 0.8503 Tm
0.7389 0.5000 0.2639 Tm
0.0857 0.0000 0.8996 Sc
0.4939 0.0000 0.6232 Sc
0.5000 0.0000 0.0000 Sc
0.5061 0.0000 0.3768 Sc
0.9143 0.0000 0.1004 Sc
```

Summary:
energy relative to the lowest polymorph listed for this composition: 0.0000 eV per atom
space group: P2/m (10)
DFT total energy: -5.2347 eV/atom
theoretical density: 6.2 g/cm3


Entry 14:
A relaxed structure of Pm6Tm2Sc, computed with GGA-PBE.

Cell and atoms, written as POSCAR:
```
Pm6Tm2Sc
1.0
8.0659 -5.8509 0.0000
8.0659 5.8509 0.0000
-0.6590 0.0000 6.1379
Pm Tm Sc
12 4 2
Direct
0.0932 0.8092 0.9879 Pm
0.1475 0.4306 0.1495 Pm
0.1908 0.9068 0.5121 Pm
0.2508 0.5238 0.6760 Pm
0.4306 0.1475 0.6495 Pm
0.4762 0.7492 0.8240 Pm
0.5238 0.2508 0.1760 Pm
0.5694 0.8525 0.3505 Pm
0.7492 0.4762 0.3240 Pm
0.8092 0.0932 0.4879 Pm
0.8525 0.5694 0.8505 Pm
0.9068 0.1908 0.0121 Pm
0.0682 0.2702 0.5761 Tm
0.2702 0.0682 0.0761 Tm
0.7298 0.9318 0.9239 Tm
0.9318 0.7298 0.4239 Tm
0.3951 0.6049 0.2500 Sc
0.6049 0.3951 0.7500 Sc
```

Summary:
energy relative to the lowest polymorph listed for this composition: 0.0487 eV per atom
space group: C2/c (15)
DFT total energy: -4.7715 eV/atom
theoretical density: 7.2 g/cm3


Entry 15:
A relaxed structure of Pm4Tm4Sc, computed with GGA-PBE.

Cell and atoms, written as POSCAR:
```
Pm4Tm4Sc
1.0
-5.3079 5.3079 2.5021
5.3079 -5.3079 2.5021
5.3079 5.3079 -2.5021
Pm Tm Sc
4 4 1
Direct
0.0000 0.3286 0.3286 Pm
0.0000 0.6714 0.6714 Pm
0.3286 0.0000 0.3286 Pm
0.6714 0.0000 0.6714 Pm
0.3361 0.3361 0.6723 Tm
0.3361 0.6639 0.0000 Tm
0.6639 0.3361 0.0000 Tm
0.6639 0.6639 0.3277 Tm
0.0000 0.0000 0.0000 Sc
```

Summary:
energy relative to the lowest polymorph listed for this composition: 0.0000 eV per atom
space group: I4/mmm (139)
DFT total energy: -4.7659 eV/atom
theoretical density: 7.7 g/cm3


Entry 16:
A relaxed structure of Pm3Tm2Sc4, computed with GGA-PBE.

Cell and atoms, written as POSCAR:
```
Pm3Tm2Sc4
1.0
6.5638 0.0000 0.0000
1.9527 8.1156 0.0000
2.6108 1.4128 9.7965
Pm Tm Sc
6 4 8
Direct
0.1154 0.1858 0.0306 Pm
0.1202 0.1679 0.7039 Pm
0.2640 0.5216 0.4486 Pm
0.7360 0.4784 0.5514 Pm
0.8798 0.8321 0.2961 Pm
0.8846 0.8142 0.9694 Pm
0.1136 0.1635 0.3683 Tm
0.4144 0.8322 0.8746 Tm
0.5856 0.1678 0.1254 Tm
0.8864 0.8365 0.6317 Tm
0.2595 0.5237 0.7882 Sc
0.2657 0.5219 0.1160 Sc
0.4110 0.8327 0.2091 Sc
0.4130 0.8387 0.5407 Sc
0.5870 0.1613 0.4592 Sc
0.5890 0.1673 0.7909 Sc
0.7343 0.4781 0.8840 Sc
0.7405 0.4763 0.2118 Sc
```

Summary:
energy relative to the lowest polymorph listed for this composition: 0.0000 eV per atom
space group: P-1 (2)
DFT total energy: -5.3399 eV/atom
theoretical density: 6.1 g/cm3


Entry 17:
A relaxed structure of PmTm4Sc, computed with GGA-PBE.

Cell and atoms, written as POSCAR:
```
PmTm4Sc
1.0
3.3873 0.0000 0.0000
0.0000 5.6917 0.0000
-0.0353 0.0000 9.6477
Pm Tm Sc
1 4 1
Direct
0.0000 0.0000 0.0000 Pm
0.0018 0.5000 0.8014 Tm
0.4976 0.0000 0.6800 Tm
0.5024 0.0000 0.3200 Tm
0.9982 0.5000 0.1986 Tm
0.5000 0.5000 0.5000 Sc
```

Summary:
space group: P2/m (10)
DFT total energy: -4.6280 eV/atom
theoretical density: 7.7 g/cm3


Entry 18:
A relaxed structure of PmTmSc2, computed with GGA-PBE.

Cell and atoms, written as POSCAR:
```
PmTmSc2
1.0
3.4804 0.0000 0.0000
0.0000 4.6331 0.0000
0.0000 0.0000 6.9686
Pm Tm Sc
1 1 2
Direct
0.0000 0.0000 0.0000 Pm
0.0000 0.0000 0.5000 Tm
0.5000 0.5000 0.2556 Sc
0.5000 0.5000 0.7444 Sc
```

Summary:
energy relative to the lowest polymorph listed for this composition: 0.0040 eV per atom
space group: Pmmm (47)
DFT total energy: -5.4177 eV/atom
theoretical density: 6.0 g/cm3


Entry 19:
A relaxed structure of Pm5Tm4Sc3, computed with GGA-PBE.

Cell and atoms, written as POSCAR:
```
Pm5Tm4Sc3
1.0
5.1450 -2.7313 0.0000
5.1450 2.7313 0.0000
-5.1409 0.0000 13.1267
Pm Tm Sc
5 4 3
Direct
0.0000 0.0000 0.0000 Pm
0.2818 0.2818 0.7677 Pm
0.4377 0.4377 0.3713 Pm
0.5623 0.5623 0.6287 Pm
0.7182 0.7182 0.2323 Pm
0.1655 0.1655 0.5027 Tm
0.3175 0.3175 0.1169 Tm
0.6825 0.6825 0.8831 Tm
0.8345 0.8345 0.4973 Tm
0.0483 0.0483 0.2459 Sc
0.5000 0.5000 0.0000 Sc
0.9517 0.9517 0.7541 Sc
```

Summary:
space group: C2/m (12)
DFT total energy: -4.8164 eV/atom
theoretical density: 6.9 g/cm3


Entry 20:
A relaxed structure of Pm3Tm8Sc2, computed with GGA-PBE.

Cell and atoms, written as POSCAR:
```
Pm3Tm8Sc2
1.0
7.1136 -4.5440 0.0000
7.1136 4.5440 0.0000
-1.0733 0.0000 6.5099
Pm Tm Sc
3 8 2
Direct
0.0000 0.0000 0.0000 Pm
0.1708 0.8292 0.5000 Pm
0.8292 0.1708 0.5000 Pm
0.2041 0.5630 0.0643 Tm
0.2123 0.2123 0.2959 Tm
0.4166 0.4166 0.6381 Tm
0.4370 0.7959 0.9357 Tm
0.5630 0.2041 0.0643 Tm
0.5834 0.5834 0.3619 Tm
0.7877 0.7877 0.7041 Tm
0.7959 0.4370 0.9357 Tm
0.1998 0.1998 0.7963 Sc
0.8002 0.8002 0.2037 Sc
```

Summary:
energy relative to the lowest polymorph listed for this composition: 0.0254 eV per atom
space group: C2/m (12)
DFT total energy: -4.5429 eV/atom
theoretical density: 7.4 g/cm3